# K3Ti2Te4 | Alexandria | PBE-GGA | optimized geometry
# Formation energy from raw total energies = -0.811 eV/atom
# Crystal system = monoclinic
# ρ = 3.71 g/cm3
data_K3Ti2Te4
_cell_length_a 4.572
_cell_length_b 8.241
_cell_length_c 10.343
_cell_angle_alpha 118.77
_cell_angle_beta 90.00
_cell_angle_gamma 106.10
_symmetry_space_group_name_H-M 'P 1'
_symmetry_Int_Tables_number 1
_symmetry_space_group_name_Hall 'P 1'
loop_
_atom_site_label
_atom_site_type_symbol
_atom_site_fract_x
_atom_site_fract_y
_atom_site_fract_z
Te1 Te 0.893 0.786 0.592
Te2 Te 0.686 0.373 0.126
K1 K 0.626 0.252 0.740
K2 K 0.374 0.748 0.260
K3 K 0.000 0.000 0.000
Te3 Te 0.107 0.214 0.408
Ti1 Ti 0.696 0.392 0.386
Te4 Te 0.314 0.627 0.874
Ti2 Ti 0.304 0.608 0.614


# K3Ti5Te12 | Alexandria | PBE-GGA | optimized geometry
# Formation energy from raw total energies = -0.576 eV/atom
# Crystal system = cubic
# ρ = 4.41 g/cm3
data_K3Ti5Te12
_cell_length_a 15.453
_cell_length_b 15.453
_cell_length_c 15.453
_cell_angle_alpha 109.47
_cell_angle_beta 109.47
_cell_angle_gamma 109.47
_symmetry_space_group_name_H-M 'P 1'
_symmetry_Int_Tables_number 1
_symmetry_space_group_name_Hall 'P 1'
loop_
_atom_site_label
_atom_site_type_symbol
_atom_site_fract_x
_atom_site_fract_y
_atom_site_fract_z
Ti1 Ti 0.625 0.875 0.250
Te1 Te 0.899 0.592 0.910
Te2 Te 0.194 0.511 0.601
Ti2 Ti 0.875 0.250 0.625
Ti3 Ti 0.000 0.000 0.000
Te3 Te 0.683 0.489 0.590
K1 K 0.750 0.375 0.125
Te4 Te 0.694 0.101 0.011
Ti4 Ti 0.375 0.125 0.750
Te5 Te 0.399 0.989 0.806
Ti5 Ti 0.500 0.500 0.500
Ti6 Ti 0.250 0.375 0.625
Ti7 Ti 0.000 0.000 0.500
Te6 Te 0.101 0.408 0.090
Te7 Te 0.806 0.317 0.908
Te8 Te 0.092 0.183 0.194
Ti8 Ti 0.500 0.000 0.000
Te9 Te 0.817 0.910 0.011
K2 K 0.375 0.750 0.625
K3 K 0.375 0.625 0.250
Ti9 Ti 0.250 0.875 0.125
Te10 Te 0.592 0.694 0.683
Te11 Te 0.410 0.399 0.592
Te12 Te 0.511 0.317 0.910
Ti10 Ti 0.000 0.500 0.500
Ti11 Ti 0.125 0.375 0.250
Ti12 Ti 0.500 0.000 0.500
Te13 Te 0.408 0.101 0.590
Te14 Te 0.806 0.489 0.399
Te15 Te 0.092 0.910 0.399
K4 K 0.250 0.125 0.375
Te16 Te 0.489 0.806 0.899
Te17 Te 0.183 0.092 0.694
Ti13 Ti 0.375 0.250 0.125
Te18 Te 0.989 0.399 0.306
Te19 Te 0.511 0.194 0.101
Te20 Te 0.908 0.817 0.806
Te21 Te 0.306 0.408 0.817
Ti14 Ti 0.500 0.500 0.000
Te22 Te 0.090 0.908 0.101
K5 K 0.875 0.750 0.125
Te23 Te 0.910 0.817 0.511
Ti15 Ti 0.625 0.750 0.875
Te24 Te 0.910 0.092 0.899
Te25 Te 0.183 0.090 0.989
K6 K 0.125 0.250 0.875
Te26 Te 0.410 0.011 0.317
Ti16 Ti 0.750 0.125 0.875
Ti17 Ti 0.000 0.500 0.000
Te27 Te 0.592 0.899 0.410
K7 K 0.625 0.250 0.375
Te28 Te 0.899 0.306 0.489
Te29 Te 0.489 0.683 0.090
Te30 Te 0.317 0.806 0.408
Ti18 Ti 0.125 0.750 0.375
Te31 Te 0.090 0.183 0.489
Te32 Te 0.101 0.694 0.511
Te33 Te 0.908 0.090 0.601
K8 K 0.750 0.875 0.625
Ti19 Ti 0.875 0.625 0.750
Te34 Te 0.306 0.899 0.989
Te35 Te 0.601 0.011 0.194
Te36 Te 0.590 0.989 0.683
Te37 Te 0.317 0.511 0.410
Te38 Te 0.590 0.601 0.408
Ti20 Ti 0.750 0.625 0.375
Te39 Te 0.601 0.590 0.908
Te40 Te 0.817 0.908 0.306
Te41 Te 0.989 0.590 0.183
Te42 Te 0.683 0.194 0.592
Te43 Te 0.694 0.592 0.183
Te44 Te 0.194 0.683 0.092
Te45 Te 0.408 0.306 0.317
K9 K 0.625 0.375 0.750
Te46 Te 0.011 0.601 0.694
Te47 Te 0.399 0.410 0.092
K10 K 0.250 0.625 0.875
K11 K 0.125 0.875 0.750
K12 K 0.875 0.125 0.250
Te48 Te 0.011 0.410 0.817


# KTi2Te4 | Alexandria | PBE-GGA | optimized geometry
# Formation energy from raw total energies = -0.815 eV/atom
# Crystal system = monoclinic
# ρ = 4.69 g/cm3
data_KTi2Te4
_cell_length_a 3.904
_cell_length_b 6.638
_cell_length_c 9.554
_cell_angle_alpha 109.03
_cell_angle_beta 101.79
_cell_angle_gamma 90.00
_symmetry_space_group_name_H-M 'P 1'
_symmetry_Int_Tables_number 1
_symmetry_space_group_name_Hall 'P 1'
loop_
_atom_site_label
_atom_site_type_symbol
_atom_site_fract_x
_atom_site_fract_y
_atom_site_fract_z
Ti1 Ti 0.250 0.242 0.500
K1 K 0.500 0.500 0.000
Te1 Te 0.844 0.506 0.688
Te2 Te 0.653 0.997 0.305
Te3 Te 0.347 0.003 0.695
Te4 Te 0.156 0.494 0.312
Ti2 Ti 0.750 0.758 0.500


# KTi2Te2 | Alexandria | PBE-GGA | optimized geometry
# Formation energy from raw total energies = -0.649 eV/atom
# Crystal system = tetragonal
# ρ = 4.74 g/cm3
data_KTi2Te2
_cell_length_a 4.123
_cell_length_b 4.123
_cell_length_c 8.555
_cell_angle_alpha 76.05
_cell_angle_beta 76.05
_cell_angle_gamma 90.00
_symmetry_space_group_name_H-M 'P 1'
_symmetry_Int_Tables_number 1
_symmetry_space_group_name_Hall 'P 1'
loop_
_atom_site_label
_atom_site_type_symbol
_atom_site_fract_x
_atom_site_fract_y
_atom_site_fract_z
K1 K 0.000 0.000 0.000
Ti1 Ti 0.750 0.250 0.500
Te1 Te 0.632 0.632 0.735
Ti2 Ti 0.250 0.750 0.500
Te2 Te 0.368 0.368 0.265


# K4Ti3Te9 | Alexandria | PBE-GGA | optimized geometry
# Formation energy from raw total energies = -0.843 eV/atom
# Crystal system = monoclinic
# ρ = 4.29 g/cm3
data_K4Ti3Te9
_cell_length_a 8.301
_cell_length_b 9.088
_cell_length_c 29.738
_cell_angle_alpha 92.22
_cell_angle_beta 90.00
_cell_angle_gamma 90.00
_symmetry_space_group_name_H-M 'P 1'
_symmetry_Int_Tables_number 1
_symmetry_space_group_name_Hall 'P 1'
loop_
_atom_site_label
_atom_site_type_symbol
_atom_site_fract_x
_atom_site_fract_y
_atom_site_fract_z
Te1 Te 0.332 0.927 0.450
K1 K 0.756 0.120 0.766
Te2 Te 0.472 0.578 0.909
K2 K 0.724 0.931 0.933
K3 K 0.244 0.880 0.234
Te3 Te 0.917 0.254 0.878
Ti1 Ti 0.191 0.080 0.871
Te4 Te 0.160 0.254 0.308
Ti2 Ti 0.732 0.253 0.627
K4 K 0.276 0.069 0.067
Te5 Te 0.168 0.927 0.950
Ti3 Ti 0.309 0.080 0.371
Te6 Te 0.972 0.422 0.591
K5 K 0.224 0.069 0.567
Te7 Te 0.668 0.449 0.700
Te8 Te 0.340 0.254 0.808
K6 K 0.266 0.430 0.182
Te9 Te 0.990 0.888 0.826
K7 K 0.734 0.570 0.818
Ti4 Ti 0.809 0.920 0.129
Te10 Te 0.332 0.551 0.300
Te11 Te 0.417 0.746 0.622
Te12 Te 0.832 0.449 0.200
K8 K 0.256 0.880 0.734
Te13 Te 0.033 0.927 0.340
Ti5 Ti 0.232 0.747 0.873
K9 K 0.270 0.606 0.016
Ti6 Ti 0.691 0.920 0.629
Te14 Te 0.028 0.578 0.409
K10 K 0.744 0.120 0.266
Ti7 Ti 0.797 0.586 0.118
Te15 Te 0.840 0.746 0.692
Te16 Te 0.342 0.232 0.945
Ti8 Ti 0.703 0.586 0.618
Te17 Te 0.490 0.112 0.674
Te18 Te 0.533 0.073 0.160
Te19 Te 0.842 0.768 0.555
Te20 Te 0.083 0.746 0.122
Ti9 Ti 0.203 0.414 0.882
Ti10 Ti 0.768 0.253 0.127
Te21 Te 0.668 0.073 0.550
Ti11 Ti 0.297 0.414 0.382
K11 K 0.766 0.570 0.318
Ti12 Ti 0.268 0.747 0.373
Te22 Te 0.001 0.388 0.074
Te23 Te 0.168 0.551 0.800
Te24 Te 0.658 0.768 0.055
Te25 Te 0.660 0.746 0.192
Te26 Te 0.010 0.112 0.174
K12 K 0.730 0.394 0.984
Te27 Te 0.528 0.422 0.091
Te28 Te 0.967 0.073 0.660
Te29 Te 0.510 0.888 0.326
Te30 Te 0.501 0.612 0.426
K13 K 0.770 0.394 0.484
K14 K 0.234 0.430 0.682
Te31 Te 0.158 0.232 0.445
Te32 Te 0.467 0.927 0.840
K15 K 0.776 0.931 0.433
Te33 Te 0.499 0.388 0.574
Te34 Te 0.999 0.612 0.926
Te35 Te 0.583 0.254 0.378
Te36 Te 0.832 0.073 0.050
K16 K 0.230 0.606 0.516


# KTiTe3 | Alexandria | PBE-GGA | optimized geometry
# Formation energy from raw total energies = 1.197 eV/atom
# Crystal system = cubic
# ρ = 3.91 g/cm3
data_KTiTe3
_cell_length_a 5.841
_cell_length_b 5.841
_cell_length_c 5.841
_cell_angle_alpha 90.00
_cell_angle_beta 90.00
_cell_angle_gamma 90.00
_symmetry_space_group_name_H-M 'P 1'
_symmetry_Int_Tables_number 1
_symmetry_space_group_name_Hall 'P 1'
loop_
_atom_site_label
_atom_site_type_symbol
_atom_site_fract_x
_atom_site_fract_y
_atom_site_fract_z
Te1 Te 0.000 0.000 0.500
Te2 Te 0.500 0.000 0.000
Te3 Te 0.000 0.500 0.000
K1 K 0.000 0.000 0.000
Ti1 Ti 0.500 0.500 0.500


The lowest ρ belongs to which entry?
K3Ti2Te4


Among the records above, which one has the highest formation energy from raw total energies?
KTiTe3


Which of these has the lowest ρ?
K3Ti2Te4


Which of these has the lowest ρ?
K3Ti2Te4